This record from Alexandria describes KBIN2 after structural relaxation. The functional is PBE-GGA.

The structure in POSCAR format:
```
KBIN2
1.0
4.169 0.000 0.000
0.000 4.169 0.000
0.000 0.000 5.102
K B I N
1 1 1 2
Direct
0.000 0.000 0.000
0.500 0.500 0.500
0.500 0.500 0.000
0.000 0.500 0.500
0.500 0.000 0.500
```

Computed properties:
The value obtained for the magnetic moment is 0.639 μB per atom. The calculation puts the uncorrected formation energy at 796 kJ/mol of formula units. As for the volume: 17.7 Å³ per atom.